{
  "formula": "SrZrTa2",
  "functional": "PBE-GGA",
  "state": "optimized geometry",
  "lattice_angstrom": [[6.0085, -0.0146, -0.1230], [-2.9853, 5.2144, -0.1230], [0.0607, 0.1044, 2.8731]],
  "species": ["Ta", "Zr", "Sr", "Ta"],
  "fractional_positions": [[0.0000, 0.0000, 0.0000], [0.5000, 0.0000, 0.5000], [0.0000, 0.5000, 0.5000], [0.5000, 0.5000, 0.0000]],
  "final_energy_ev_per_atom": -7.66,
  "space_group": "Cmmm"
}



{
  "formula": "Sc2CuAsW",
  "functional": "PBE-GGA",
  "state": "optimized geometry",
  "lattice_angstrom": [[5.0415, 0.0000, 0.0000], [0.0000, 4.6448, 0.0000], [0.0000, 0.0000, 5.0415]],
  "species": ["As", "Cu", "W", "Sc", "Sc"],
  "fractional_positions": [[0.5000, 0.5000, 0.5000], [0.0000, 0.5000, 0.0000], [0.0000, 0.0000, 0.0000], [0.5000, 0.0000, 0.0000], [0.0000, 0.0000, 0.5000]],
  "final_energy_ev_per_atom": -6.01,
  "space_group": "P4/mmm"
}



What did the first record say?
{
  "formula": "SrZrTa2",
  "functional": "PBE-GGA",
  "state": "optimized geometry",
  "lattice_angstrom": [[6.0085, -0.0146, -0.1230], [-2.9853, 5.2144, -0.1230], [0.0607, 0.1044, 2.8731]],
  "species": ["Ta", "Zr", "Sr", "Ta"],
  "fractional_positions": [[0.0000, 0.0000, 0.0000], [0.5000, 0.0000, 0.5000], [0.0000, 0.5000, 0.5000], [0.5000, 0.5000, 0.0000]],
  "final_energy_ev_per_atom": -7.66,
  "space_group": "Cmmm"
}